CaScMnGa2: optimized geometry, PBE.

Structure (extended XYZ):
```
5
Lattice="4.781 0.000 0.000 0.000 4.781 0.000 0.000 0.000 4.565" Properties=species:S:1:pos:R:3 pbc="T T T"
Ca 0.000 0.000 0.000
Sc 2.390 2.390 0.000
Mn 2.390 2.390 2.282
Ga 0.000 2.390 2.282
Ga 2.390 0.000 2.282
```

## Properties
For the size of the total moment, the calculation gives 0.16 μB per cell. As for the density of states at the Fermi level: 2.7 states/eV per cell. The value obtained for the uncorrected energy is -4.883 eV per atom.